Compound: Ni8Pd2W
Source: Alexandria via LeMat-Bulk
Functional: PBE
Structure: relaxed

Calculated values
Raw total energy, eV/atom: -6.13
Space-group type: C2/m
Size of the total moment, μB per atom: 0.21
Volume, A^3/atom: 12.46

Cell and atoms, written as CIF:
```
data_Ni8Pd2W
_chemical_formula_sum 'Ni8 Pd2 W1'
_symmetry_space_group_name_H-M 'P 1'
_symmetry_Int_Tables_number 1
_cell_length_a 4.3690
_cell_length_b 5.0386
_cell_length_c 7.0636
_cell_angle_alpha 110.93
_cell_angle_beta 108.06
_cell_angle_gamma 89.88
loop_
_symmetry_equiv_pos_as_xyz
'x,y,z'
loop_
_atom_site_label
_atom_site_fract_x
_atom_site_fract_y
_atom_site_fract_z
W1 0.5000 0.0000 0.0000
Ni1 0.2546 0.5067 0.0000
Ni2 0.8702 0.6475 0.7502
Ni3 0.7454 0.4933 0.0000
Ni4 0.3056 0.8056 0.6112
Ni5 0.1298 0.3525 0.2498
Ni6 0.8800 0.1027 0.7502
Ni7 0.6944 0.1944 0.3888
Ni8 0.1200 0.8973 0.2498
Pd1 0.6866 0.6866 0.3733
Pd2 0.3134 0.3134 0.6268
```